Record 1
PBE-GGA PrHoTh, optimized geometry; space group = P2_1/c (14); total DFT energy (no corrections) = -5.40 eV per atom; energy of formation from the pure elements = 189 meV per atom; ΔE to the lowest computed polymorph = 162 meV per atom
1.0
9.064 0.000 0.000
0.000 6.727 0.000
-1.263 0.000 6.636
Pr Ho Th
4 4 4
direct
0.139 0.091 0.172 Pr
0.139 0.409 0.672 Pr
0.861 0.591 0.328 Pr
0.861 0.909 0.828 Pr
0.211 0.588 0.170 Ho
0.211 0.912 0.670 Ho
0.789 0.088 0.330 Ho
0.789 0.412 0.830 Ho
0.470 0.249 0.004 Th
0.470 0.251 0.504 Th
0.530 0.749 0.496 Th
0.530 0.751 0.996 Th

Record 2
PBE-GGA Gd, optimized geometry; space group = R-3m (166); total DFT energy (no corrections) = -14.08 eV per atom; energy of formation from the pure elements = 4 meV per atom; ΔE to the lowest computed polymorph = 4 meV per atom
1.0
1.809 1.045 8.668
-1.809 1.045 8.668
0.000 -2.089 8.668
Gd
3
direct
0.000 0.000 0.000 Gd
0.222 0.222 0.222 Gd
0.778 0.778 0.778 Gd

Record 3
PBE-GGA LiCuNiRu2, optimized geometry; space group = P4/mmm (123); total DFT energy (no corrections) = -4.95 eV per atom; energy of formation from the pure elements = 1123 meV per atom
1.0
4.092 0.000 0.000
0.000 4.092 0.000
0.000 0.000 3.866
Li Cu Ni Ru
1 1 1 2
direct
0.000 0.000 0.000 Li
0.500 0.500 0.500 Cu
0.000 0.000 0.500 Ni
0.000 0.500 0.000 Ru
0.500 0.000 0.000 Ru

Record 4
PBE-GGA AlSb3Rh, optimized geometry; formation energy without anion corrections = 0.9204 eV/atom; space group = Pm-3m (221); total DFT energy (no corrections) = -3.77 eV per atom; ΔE to the lowest computed polymorph = 481 meV per atom
1.0
5.117 0.000 0.000
0.000 5.117 0.000
0.000 0.000 5.117
Al Sb Rh
1 3 1
direct
0.000 0.000 0.000 Al
0.000 0.000 0.500 Sb
0.000 0.500 0.000 Sb
0.500 0.000 0.000 Sb
0.500 0.500 0.500 Rh